DFT (PBE) results for a relaxed CaBi2Au6 crystal.

Computed properties:
Relative energy among the computed polymorphs (meV per atom): 74.6
Density of states at the Fermi level (states/eV/cell): 3.3
DFT formation energy (kJ/mol of formula units): -191
Total magnetic moment (μB/cell): 0.00
Total DFT energy (no corrections) (eV/f.u.): -31.41

Cell: 8.3594 8.3594 3.7909 Å, 102.71 102.71 55.67°
Fractional positions:
Ca 0.0000 0.0000 0.0000
Bi 0.3578 0.3578 0.8576
Bi 0.6422 0.6422 0.1424
Au 0.0018 0.6437 0.3244
Au 0.3073 0.6927 0.5000
Au 0.3563 0.9982 0.6756
Au 0.6437 0.0018 0.3244
Au 0.6927 0.3073 0.5000
Au 0.9982 0.3563 0.6756